A plane-wave DFT calculation with PBE was carried out for crystalline YMgSn at its relaxed geometry.

energy of formation from the pure elements = -0.305 eV per atom
Fermi-level density of states = 0.62 states/eV/atom
final energy = -4.33 eV/atom

Unit cell a=6.720 b=6.720 c=6.720 alpha=149.57 beta=149.57 gamma=43.57
Atoms (fractional coordinates):
Y 0.000 0.000 0.000
Mg 0.317 0.317 0.000
Sn 0.672 0.672 0.000

***

A plane-wave DFT calculation with PBE was carried out for crystalline Y6Mg5Sn at its relaxed geometry.

energy of formation from the pure elements = -0.240 eV per atom
Fermi-level density of states = 1.08 states/eV/atom
final energy = -4.47 eV/atom

Unit cell a=8.501 b=8.501 c=7.518 alpha=90.00 beta=90.00 gamma=143.21
Atoms (fractional coordinates):
Y 0.000 0.000 0.248
Y 0.000 0.000 0.752
Y 0.334 0.666 0.251
Y 0.334 0.666 0.749
Y 0.666 0.334 0.251
Y 0.666 0.334 0.749
Mg 0.167 0.833 0.500
Mg 0.173 0.827 0.000
Mg 0.500 0.500 0.500
Mg 0.827 0.173 0.000
Mg 0.833 0.167 0.500
Sn 0.500 0.500 0.000

***

A plane-wave DFT calculation with PBE was carried out for crystalline Y2MgSn9 at its relaxed geometry.

energy of formation from the pure elements = -0.298 eV per atom
Fermi-level density of states = 0.30 states/eV/atom
final energy = -4.51 eV/atom

Unit cell a=4.630 b=4.630 c=14.676 alpha=90.00 beta=90.00 gamma=90.00
Atoms (fractional coordinates):
Y 0.000 0.000 0.161
Y 0.000 0.000 0.839
Mg 0.000 0.000 0.500
Sn 0.000 0.500 0.000
Sn 0.000 0.500 0.336
Sn 0.000 0.500 0.664
Sn 0.500 0.000 0.000
Sn 0.500 0.000 0.336
Sn 0.500 0.000 0.664
Sn 0.500 0.500 0.171
Sn 0.500 0.500 0.500
Sn 0.500 0.500 0.829

***

A plane-wave DFT calculation with PBE was carried out for crystalline YMg2Sn2 at its relaxed geometry.

energy above the most stable polymorph in this dataset = 0 meV/atom
energy of formation from the pure elements = -0.396 eV per atom
Fermi-level density of states = 0.39 states/eV/atom
final energy = -3.93 eV/atom

Unit cell a=12.680 b=12.680 c=4.458 alpha=90.00 beta=90.00 gamma=159.92
Atoms (fractional coordinates):
Y 0.152 0.848 0.750
Y 0.848 0.152 0.250
Mg 0.045 0.955 0.250
Mg 0.454 0.546 0.250
Mg 0.546 0.454 0.750
Mg 0.955 0.045 0.750
Sn 0.249 0.751 0.250
Sn 0.373 0.627 0.750
Sn 0.627 0.373 0.250
Sn 0.751 0.249 0.750

***

A plane-wave DFT calculation with PBE was carried out for crystalline YMg14Sn at its relaxed geometry.

energy above the most stable polymorph in this dataset = 30 meV/atom
energy of formation from the pure elements = -0.033 eV per atom
Fermi-level density of states = 0.57 states/eV/atom
final energy = -2.08 eV/atom

Unit cell a=6.532 b=6.532 c=10.252 alpha=90.00 beta=90.00 gamma=120.00
Atoms (fractional coordinates):
Y 0.000 0.000 0.000
Mg 0.012 0.506 0.000
Mg 0.167 0.335 0.256
Mg 0.167 0.335 0.744
Mg 0.167 0.833 0.256
Mg 0.167 0.833 0.744
Mg 0.494 0.506 0.000
Mg 0.494 0.988 0.000
Mg 0.504 0.009 0.500
Mg 0.504 0.496 0.500
Mg 0.665 0.833 0.256
Mg 0.665 0.833 0.744
Mg 0.667 0.333 0.243
Mg 0.667 0.333 0.757
Mg 0.991 0.496 0.500
Sn 0.000 0.000 0.500

***

A plane-wave DFT calculation with PBE was carried out for crystalline YMg2Sn at its relaxed geometry.

energy of formation from the pure elements = -0.138 eV per atom
Fermi-level density of states = 0.45 states/eV/atom
final energy = -3.55 eV/atom

Unit cell a=11.696 b=11.696 c=11.696 alpha=158.38 beta=158.38 gamma=30.76
Atoms (fractional coordinates):
Y 0.000 0.000 0.000
Y 0.750 0.250 0.500
Mg 0.132 0.625 0.007
Mg 0.375 0.382 0.507
Mg 0.618 0.125 0.993
Mg 0.875 0.868 0.493
Sn 0.250 0.750 0.500
Sn 0.500 0.500 0.000

***

A plane-wave DFT calculation with PBE was carried out for crystalline YMg2Sn2 at its relaxed geometry.

energy above the most stable polymorph in this dataset = 290 meV/atom
energy of formation from the pure elements = -0.107 eV per atom
Fermi-level density of states = 0.40 states/eV/atom
final energy = -3.64 eV/atom

Unit cell a=6.235 b=6.235 c=6.235 alpha=131.40 beta=131.40 gamma=71.19
Atoms (fractional coordinates):
Y 0.000 0.000 0.000
Mg 0.368 0.368 0.000
Mg 0.632 0.632 0.000
Sn 0.250 0.750 0.500
Sn 0.750 0.250 0.500

***

A plane-wave DFT calculation with PBE was carried out for crystalline YMg2Sn at its relaxed geometry.

energy of formation from the pure elements = 0.144 eV per atom
Fermi-level density of states = 0.91 states/eV/atom
final energy = -3.27 eV/atom

Unit cell a=11.488 b=11.488 c=11.488 alpha=16.68 beta=16.68 gamma=16.68
Atoms (fractional coordinates):
Y 0.000 0.000 0.000
Mg 0.094 0.094 0.094
Mg 0.906 0.906 0.906
Sn 0.500 0.500 0.500

***

A plane-wave DFT calculation with PBE was carried out for crystalline Y3MgSn3 at its relaxed geometry.

energy of formation from the pure elements = -0.414 eV per atom
Fermi-level density of states = 0.46 states/eV/atom
final energy = -5.13 eV/atom

Unit cell a=9.245 b=9.245 c=6.150 alpha=90.00 beta=90.00 gamma=120.00
Atoms (fractional coordinates):
Y 0.040 0.688 0.250
Y 0.312 0.352 0.250
Y 0.352 0.040 0.750
Y 0.648 0.960 0.250
Y 0.688 0.648 0.750
Y 0.960 0.312 0.750
Mg 0.333 0.667 0.750
Mg 0.667 0.333 0.250
Sn 0.033 0.684 0.750
Sn 0.316 0.349 0.750
Sn 0.349 0.033 0.250
Sn 0.651 0.967 0.750
Sn 0.684 0.651 0.250
Sn 0.967 0.316 0.250

***

A plane-wave DFT calculation with PBE was carried out for crystalline MgZnSn at its relaxed geometry.

energy of formation from the pure elements = 0.010 eV per atom
Fermi-level density of states = 0.45 states/eV/atom
final energy = -2.28 eV/atom

Unit cell a=6.516 b=3.152 c=6.806 alpha=90.00 beta=108.31 gamma=90.00
Atoms (fractional coordinates):
Mg 0.000 0.000 0.000
Mg 0.133 0.000 0.563
Zn 0.799 0.500 0.638
Zn 0.819 0.500 0.266
Sn 0.388 0.500 0.311
Sn 0.504 0.500 0.873

***

A plane-wave DFT calculation with PBE was carried out for crystalline Mg3Zn5Sn12 at its relaxed geometry.

energy of formation from the pure elements = 0.126 eV per atom
Fermi-level density of states = 0.47 states/eV/atom
final energy = -2.83 eV/atom

Unit cell a=14.249 b=14.249 c=14.249 alpha=109.47 beta=109.47 gamma=109.47
Atoms (fractional coordinates):
Mg 0.125 0.250 0.375
Mg 0.125 0.375 0.750
Mg 0.250 0.375 0.125
Mg 0.250 0.875 0.625
Mg 0.375 0.125 0.250
Mg 0.375 0.750 0.125
Mg 0.625 0.250 0.875
Mg 0.625 0.875 0.750
Mg 0.750 0.125 0.375
Mg 0.750 0.625 0.875
Mg 0.875 0.625 0.250
Mg 0.875 0.750 0.625
Zn 0.000 0.000 0.000
Zn 0.000 0.000 0.500
Zn 0.000 0.500 0.000
Zn 0.000 0.500 0.500
Zn 0.125 0.750 0.875
Zn 0.125 0.875 0.250
Zn 0.250 0.125 0.875
Zn 0.250 0.625 0.375
Zn 0.375 0.250 0.625
Zn 0.375 0.625 0.750
Zn 0.500 0.000 0.000
Zn 0.500 0.000 0.500
Zn 0.500 0.500 0.000
Zn 0.500 0.500 0.500
Zn 0.625 0.375 0.250
Zn 0.625 0.750 0.375
Zn 0.750 0.375 0.625
Zn 0.750 0.875 0.125
Zn 0.875 0.125 0.750
Zn 0.875 0.250 0.125
Sn 0.056 0.224 0.127
Sn 0.056 0.331 0.929
Sn 0.071 0.627 0.403
Sn 0.071 0.944 0.669
Sn 0.097 0.724 0.669
Sn 0.097 0.873 0.429
Sn 0.127 0.056 0.224
Sn 0.127 0.571 0.903
Sn 0.169 0.224 0.597
Sn 0.169 0.444 0.571
Sn 0.224 0.127 0.056
Sn 0.224 0.597 0.169
Sn 0.276 0.331 0.903
Sn 0.276 0.444 0.373
Sn 0.331 0.903 0.276
Sn 0.331 0.929 0.056
Sn 0.373 0.276 0.444
Sn 0.373 0.597 0.929
Sn 0.403 0.071 0.627
Sn 0.403 0.831 0.776
Sn 0.429 0.097 0.873
Sn 0.429 0.831 0.556
Sn 0.444 0.373 0.276
Sn 0.444 0.571 0.169
Sn 0.556 0.429 0.831
Sn 0.556 0.627 0.724
Sn 0.571 0.169 0.444
Sn 0.571 0.903 0.127
Sn 0.597 0.169 0.224
Sn 0.597 0.929 0.373
Sn 0.627 0.403 0.071
Sn 0.627 0.724 0.556
Sn 0.669 0.071 0.944
Sn 0.669 0.097 0.724
Sn 0.724 0.556 0.627
Sn 0.724 0.669 0.097
Sn 0.776 0.403 0.831
Sn 0.776 0.873 0.944
Sn 0.831 0.556 0.429
Sn 0.831 0.776 0.403
Sn 0.873 0.429 0.097
Sn 0.873 0.944 0.776
Sn 0.903 0.127 0.571
Sn 0.903 0.276 0.331
Sn 0.929 0.056 0.331
Sn 0.929 0.373 0.597
Sn 0.944 0.669 0.071
Sn 0.944 0.776 0.873

***

A plane-wave DFT calculation with PBE was carried out for crystalline MgZnSn at its relaxed geometry.

energy of formation from the pure elements = 0.023 eV per atom
Fermi-level density of states = 0.34 states/eV/atom
final energy = -2.27 eV/atom

Unit cell a=4.339 b=5.481 c=6.119 alpha=102.43 beta=91.23 gamma=113.10
Atoms (fractional coordinates):
Mg 0.000 0.000 0.000
Mg 0.322 0.641 0.200
Zn 0.333 0.673 0.694
Zn 0.651 0.299 0.337
Sn 0.681 0.366 0.855
Sn 0.990 0.974 0.494

***

A plane-wave DFT calculation with PBE was carried out for crystalline Mg14ZnSn at its relaxed geometry.

energy above the most stable polymorph in this dataset = 4 meV/atom
energy of formation from the pure elements = -0.018 eV per atom
Fermi-level density of states = 0.51 states/eV/atom
final energy = -1.74 eV/atom

Unit cell a=10.084 b=6.374 c=6.374 alpha=61.03 beta=90.00 gamma=90.00
Atoms (fractional coordinates):
Mg 0.000 0.000 0.000
Mg 0.000 0.496 0.999
Mg 0.000 0.498 0.498
Mg 0.000 0.999 0.496
Mg 0.250 0.830 0.830
Mg 0.256 0.332 0.332
Mg 0.260 0.336 0.822
Mg 0.260 0.822 0.336
Mg 0.500 0.001 0.503
Mg 0.500 0.503 0.001
Mg 0.740 0.336 0.822
Mg 0.740 0.822 0.336
Mg 0.744 0.332 0.332
Mg 0.750 0.830 0.830
Zn 0.500 0.493 0.493
Sn 0.500 0.999 0.999

***

A plane-wave DFT calculation with PBE was carried out for crystalline Mg8ZnSn6 at its relaxed geometry.

energy of formation from the pure elements = -0.002 eV per atom
Fermi-level density of states = 0.50 states/eV/atom
final energy = -2.54 eV/atom

Unit cell a=8.114 b=8.114 c=8.114 alpha=61.19 beta=61.19 gamma=61.19
Atoms (fractional coordinates):
Mg 0.033 0.725 0.391
Mg 0.168 0.168 0.168
Mg 0.275 0.609 0.967
Mg 0.391 0.033 0.725
Mg 0.609 0.967 0.275
Mg 0.725 0.391 0.033
Mg 0.832 0.832 0.832
Mg 0.967 0.275 0.609
Zn 0.500 0.500 0.500
Sn 0.119 0.428 0.756
Sn 0.244 0.881 0.572
Sn 0.428 0.756 0.119
Sn 0.572 0.244 0.881
Sn 0.756 0.119 0.428
Sn 0.881 0.572 0.244

***

A plane-wave DFT calculation with PBE was carried out for crystalline Mg4ZnSn at its relaxed geometry.

energy of formation from the pure elements = -0.059 eV per atom
Fermi-level density of states = 0.39 states/eV/atom
final energy = -2.00 eV/atom

Unit cell a=4.685 b=4.685 c=8.180 alpha=106.46 beta=106.46 gamma=59.99
Atoms (fractional coordinates):
Mg 0.120 0.120 0.359
Mg 0.370 0.370 0.113
Mg 0.630 0.630 0.887
Mg 0.880 0.880 0.641
Zn 0.000 0.000 0.000
Sn 0.500 0.500 0.500

***

A plane-wave DFT calculation with PBE was carried out for crystalline Mg5ZnSn4 at its relaxed geometry.

energy of formation from the pure elements = -0.074 eV per atom
Fermi-level density of states = 0.45 states/eV/atom
final energy = -2.60 eV/atom

Unit cell a=3.707 b=3.707 c=16.772 alpha=90.00 beta=90.00 gamma=90.00
Atoms (fractional coordinates):
Mg 0.000 0.000 0.000
Mg 0.000 0.000 0.208
Mg 0.000 0.000 0.412
Mg 0.000 0.000 0.588
Mg 0.000 0.000 0.792
Zn 0.500 0.500 0.500
Sn 0.500 0.500 0.104
Sn 0.500 0.500 0.311
Sn 0.500 0.500 0.689
Sn 0.500 0.500 0.896

***

A plane-wave DFT calculation with PBE was carried out for crystalline Mg3ZnSn3 at its relaxed geometry.

energy of formation from the pure elements = -0.054 eV per atom
Fermi-level density of states = 0.29 states/eV/atom
final energy = -2.63 eV/atom

Unit cell a=6.506 b=6.506 c=7.894 alpha=90.00 beta=90.00 gamma=91.71
Atoms (fractional coordinates):
Mg 0.000 0.000 0.221
Mg 0.000 0.000 0.779
Mg 0.000 0.500 0.239
Mg 0.000 0.500 0.761
Mg 0.500 0.000 0.239
Mg 0.500 0.000 0.761
Zn 0.258 0.742 0.000
Zn 0.742 0.258 0.000
Sn 0.240 0.760 0.500
Sn 0.268 0.268 0.500
Sn 0.291 0.291 0.000
Sn 0.709 0.709 0.000
Sn 0.732 0.732 0.500
Sn 0.760 0.240 0.500

***

A plane-wave DFT calculation with PBE was carried out for crystalline Mg14ZnSn at its relaxed geometry.

energy above the most stable polymorph in this dataset = 0 meV/atom
energy of formation from the pure elements = -0.022 eV per atom
Fermi-level density of states = 0.53 states/eV/atom
final energy = -1.75 eV/atom

Unit cell a=6.380 b=6.380 c=10.116 alpha=90.00 beta=90.00 gamma=120.00
Atoms (fractional coordinates):
Mg 0.000 0.000 0.247
Mg 0.000 0.000 0.753
Mg 0.002 0.501 0.254
Mg 0.002 0.501 0.746
Mg 0.331 0.165 0.500
Mg 0.334 0.167 0.000
Mg 0.499 0.501 0.254
Mg 0.499 0.501 0.746
Mg 0.499 0.998 0.254
Mg 0.499 0.998 0.746
Mg 0.833 0.167 0.000
Mg 0.833 0.666 0.000
Mg 0.835 0.165 0.500
Mg 0.835 0.669 0.500
Zn 0.333 0.667 0.500
Sn 0.333 0.667 0.000

***

A plane-wave DFT calculation with PBE was carried out for crystalline MgZn3Sn at its relaxed geometry.

energy above the most stable polymorph in this dataset = 0 meV/atom
energy of formation from the pure elements = 0.503 eV per atom
Fermi-level density of states = 0.47 states/eV/atom
final energy = -1.38 eV/atom

Unit cell a=5.280 b=5.280 c=5.280 alpha=90.00 beta=90.00 gamma=90.00
Atoms (fractional coordinates):
Mg 0.000 0.000 0.000
Zn 0.000 0.500 0.500
Zn 0.500 0.000 0.500
Zn 0.500 0.500 0.000
Sn 0.500 0.500 0.500

***

no.,calculated volume (Å³/atom),total magnetization (Bohr magnetons per cell)
1,25.9,0.00
2,27.1,0.00
3,26.2,0.00
4,24.6,0.00
5,23.7,0.00
6,27.1,0.00
7,26.7,0.00
8,27.2,0.00
9,32.5,0.00
10,22.1,0.00
11,27.8,0.00
12,21.6,0.00
13,22.4,0.00
14,25.9,0.00
15,24.5,0.00
16,23.0,0.00
17,23.9,0.00
18,22.3,0.00
19,29.4,0.00